Below is a geometry-optimized Pr3Te structure, with properties calculated at the PBE level.

## Properties
Its formation energy without anion corrections is -0.5984 eV/atom. The calculation puts the distance to the lowest polymorph of the same formula at 116 meV per atom. For the spin magnetization, the calculation gives 0.000 μB per atom. The calculation puts the final energy at -4.968 eV per atom.

a = 6.4510 Å, b = 6.4510 Å, c = 6.4510 Å
α = 144.03°, β = 70.20°, γ = 121.97°
Closest atoms and distances in Å follow each position.
Atoms (fractional coordinates):
Pr (0.0000, 0.0000, 0.0000)  2 Te 3.21, 2 Pr 3.31
Pr (0.4001, 0.6169, 0.7831)  3 Pr 3.31-3.67, 3 Te 3.32-3.48
Pr (0.8338, 0.6169, 0.2169)  3 Pr 3.31-3.67, 3 Te 3.32-3.48
Te (0.4019, 0.9019, 0.5000)  8 Pr 3.21-3.48